(1)
Here is a relaxed MgMnIn2Ru crystal from Alexandria. Energies are from PBE.

Properties
crystal system = tetragonal
DFT formation energy = 550 meV per atom
ρ = 5.02 g/cm3

Lattice parameters (Å, degrees): 5.231 5.231 4.956 90.00 90.00 90.00
Fractional coordinates of all 5 atoms:
Mg  0.000  0.000  0.000
Mn  0.500  0.500  0.000
In  0.000  0.500  0.500
In  0.500  0.000  0.500
Ru  0.000  0.000  0.500

(2)
Here is a relaxed BaGaSb4 crystal from Alexandria. Energies are from PBE.

Properties
energy relative to the elements, uncorrected = -0.185 eV per atom
crystal system = cubic
ρ = 6.06 g/cm3

Lattice parameters (Å, degrees): 6.457 6.457 6.457 60.00 60.00 60.00
Fractional coordinates of all 6 atoms:
Ba  0.000  0.000  0.000
Ga  0.250  0.250  0.250
Sb  0.138  0.621  0.621
Sb  0.621  0.138  0.621
Sb  0.621  0.621  0.138
Sb  0.621  0.621  0.621

(3)
Here is a relaxed Sm2HoZn3 crystal from Alexandria. Energies are from PBE.

Properties
crystal system = trigonal
DFT formation energy = -324 meV per atom
ρ = 7.79 g/cm3

Lattice parameters (Å, degrees): 5.105 5.105 6.254 90.00 90.00 120.00
Fractional coordinates of all 6 atoms:
Sm  0.333  0.667  0.173
Sm  0.667  0.333  0.827
Ho  0.000  0.000  0.500
Zn  0.000  0.000  0.000
Zn  0.333  0.667  0.666
Zn  0.667  0.333  0.334

(4)
Here is a relaxed SrLa2CeN4 crystal from Alexandria. Energies are from PBE.

Properties
energy relative to the elements, uncorrected = -1.197 eV per atom
crystal system = monoclinic
ρ = 6.44 g/cm3

Lattice parameters (Å, degrees): 6.398 3.733 6.417 90.00 109.18 90.00
Fractional coordinates of all 8 atoms:
Sr  0.000  0.000  0.000
La  0.500  0.000  0.500
La  0.500  0.500  0.000
Ce  0.000  0.500  0.500
N  0.235  0.500  0.290
N  0.259  0.000  0.748
N  0.741  0.000  0.252
N  0.765  0.500  0.710

(5)
Here is a relaxed Cs3Th3CrS8 crystal from Alexandria. Energies are from PBE.

Properties
energy relative to the elements, uncorrected = -1.524 eV per atom
crystal system = trigonal
ρ = 4.81 g/cm3

Lattice parameters (Å, degrees): 9.482 9.482 9.482 51.64 51.64 51.64
Fractional coordinates of all 15 atoms:
Cs  0.000  0.500  0.500
Cs  0.500  0.000  0.500
Cs  0.500  0.500  0.000
Th  0.000  0.000  0.500
Th  0.000  0.500  0.000
Th  0.500  0.000  0.000
Cr  0.500  0.500  0.500
S  0.228  0.723  0.723
S  0.230  0.230  0.230
S  0.277  0.277  0.772
S  0.277  0.772  0.277
S  0.723  0.228  0.723
S  0.723  0.723  0.228
S  0.770  0.770  0.770
S  0.772  0.277  0.277

(6)
Here is a relaxed NaCa3Hg crystal from Alexandria. Energies are from PBE.

Properties
energy above the most stable polymorph in this dataset = 0.0 meV/atom
crystal system = triclinic
DFT formation energy = -204 meV per atom
ρ = 3.33 g/cm3

Lattice parameters (Å, degrees): 3.919 8.573 10.613 101.67 100.64 90.01
Fractional coordinates of all 10 atoms:
Na  0.094  0.041  0.186
Na  0.906  0.959  0.814
Ca  0.308  0.183  0.618
Ca  0.319  0.630  0.638
Ca  0.498  0.297  0.997
Ca  0.502  0.703  0.003
Ca  0.681  0.370  0.362
Ca  0.692  0.817  0.382
Hg  0.101  0.558  0.201
Hg  0.899  0.442  0.799

(7)
Here is a relaxed CsNaCd3 crystal from Alexandria. Energies are from PBE.

Properties
energy above the most stable polymorph in this dataset = 13.1 meV/atom
crystal system = monoclinic
DFT formation energy = -58 meV per atom
ρ = 4.40 g/cm3

Lattice parameters (Å, degrees): 10.192 7.216 11.472 90.00 118.09 90.00
Fractional coordinates of all 20 atoms:
Cs  0.094  0.017  0.210
Cs  0.094  0.483  0.710
Cs  0.906  0.517  0.290
Cs  0.906  0.983  0.790
Na  0.448  0.188  0.626
Na  0.448  0.312  0.126
Na  0.552  0.688  0.874
Na  0.552  0.812  0.374
Cd  0.154  0.528  0.086
Cd  0.154  0.972  0.586
Cd  0.352  0.726  0.549
Cd  0.352  0.774  0.049
Cd  0.353  0.050  0.861
Cd  0.353  0.450  0.361
Cd  0.647  0.550  0.639
Cd  0.647  0.950  0.139
Cd  0.648  0.226  0.951
Cd  0.648  0.274  0.451
Cd  0.846  0.028  0.414
Cd  0.846  0.472  0.914

Number 1: V 135.59 Å³ per cell, DFT total energy -0.3347 Ry/atom. Number 2: V 190.33 Å³ per cell, DFT total energy -0.2762 Ry/atom. Number 3: V 141.16 Å³ per cell, DFT total energy -0.2424 Ry/atom. Number 4: V 144.76 Å³ per cell, DFT total energy -0.5544 Ry/atom. Number 5: V 484.16 Å³ per cell, DFT total energy -0.4426 Ry/atom. Number 6: V 342.95 Å³ per cell, DFT total energy -0.1271 Ry/atom. Number 7: V 744.38 Å³ per cell, DFT total energy -0.0765 Ry/atom.